Below is a relaxed Re2TeBr crystal, with properties calculated at the GGA-PBE level.

For the energy relative to the lowest polymorph listed for this composition, the calculation gives 0.351 eV/atom. The value obtained for the density is 10.02 g cm⁻³. For the uncorrected formation energy, the calculation gives 61.58 kJ/mol of atoms. For the raw total energy, the calculation gives -27.16 eV per cell.

abc: 9.580 9.580 9.580
angles: 159.76 161.57 27.50
Fractional coordinates of all 4 atoms:
Re  0.082  0.082  0.000
Re  0.171  0.671  0.500
Te  0.476  0.476  0.000
Br  0.771  0.271  0.500

---

Below is a relaxed Re2TeBr crystal, with properties calculated at the GGA-PBE level.

For the energy relative to the lowest polymorph listed for this composition, the calculation gives 1.144 eV/atom. The value obtained for the density is 12.73 g cm⁻³. For the uncorrected formation energy, the calculation gives 138.13 kJ/mol of atoms. For the raw total energy, the calculation gives -23.98 eV per cell.

abc: 3.169 3.169 8.846
angles: 90.00 90.00 121.59
Fractional coordinates of all 4 atoms:
Re  0.000  0.000  0.010
Re  0.000  0.000  0.490
Te  0.500  0.500  0.250
Br  0.500  0.500  0.750

---

Below is a relaxed Re2TeBr crystal, with properties calculated at the GGA-PBE level.

For the energy relative to the lowest polymorph listed for this composition, the calculation gives 1.149 eV/atom. The value obtained for the density is 12.78 g cm⁻³. For the uncorrected formation energy, the calculation gives 138.60 kJ/mol of atoms. For the raw total energy, the calculation gives -23.96 eV per cell.

abc: 5.464 5.464 3.452
angles: 74.19 74.19 119.58
Fractional coordinates of all 4 atoms:
Re  0.000  0.000  0.000
Re  0.500  0.500  0.000
Te  0.500  0.000  0.500
Br  0.000  0.500  0.500

---

Below is a relaxed Re2TeBr crystal, with properties calculated at the GGA-PBE level.

For the energy relative to the lowest polymorph listed for this composition, the calculation gives 0.774 eV/atom. The value obtained for the density is 13.48 g cm⁻³. For the uncorrected formation energy, the calculation gives 102.45 kJ/mol of atoms. For the raw total energy, the calculation gives -25.46 eV per cell.

abc: 8.560 8.560 8.560
angles: 21.14 21.14 21.14
Fractional coordinates of all 4 atoms:
Re  0.997  0.997  0.997
Re  0.503  0.503  0.503
Te  0.250  0.250  0.250
Br  0.750  0.750  0.750

---

Below is a relaxed ReTeBr crystal, with properties calculated at the GGA-PBE level.

For the energy relative to the lowest polymorph listed for this composition, the calculation gives 0.199 eV/atom. The value obtained for the density is 9.87 g cm⁻³. For the uncorrected formation energy, the calculation gives 53.19 kJ/mol of atoms. For the raw total energy, the calculation gives -15.61 eV per cell.

abc: 4.541 4.541 4.541
angles: 60.00 60.00 60.00
Fractional coordinates of all 3 atoms:
Re  0.750  0.750  0.750
Te  0.000  0.000  0.000
Br  0.500  0.500  0.500

---

Below is a relaxed Re2TeBr crystal, with properties calculated at the GGA-PBE level.

For the energy relative to the lowest polymorph listed for this composition, the calculation gives 1.166 eV/atom. The value obtained for the density is 12.94 g cm⁻³. For the uncorrected formation energy, the calculation gives 140.19 kJ/mol of atoms. For the raw total energy, the calculation gives -23.90 eV per cell.

abc: 4.721 4.721 4.721
angles: 60.00 60.00 60.00
Last column: magnetic moment on the atom in μB.
Fractional coordinates of all 4 atoms:
Re  0.000  0.000  0.000  0.67
Re  0.250  0.250  0.250  -0.39
Te  0.750  0.750  0.750  0.00
Br  0.500  0.500  0.500  0.09

---

Below is a relaxed Re2TeBr crystal, with properties calculated at the GGA-PBE level.

For the energy relative to the lowest polymorph listed for this composition, the calculation gives 0.815 eV/atom. The value obtained for the density is 10.41 g cm⁻³. For the uncorrected formation energy, the calculation gives 106.41 kJ/mol of atoms. For the raw total energy, the calculation gives -25.30 eV per cell.

abc: 4.285 4.172 5.193
angles: 94.77 90.00 90.00
Fractional coordinates of all 4 atoms:
Re  0.000  0.061  0.898
Re  0.000  0.439  0.602
Te  0.500  0.250  0.250
Br  0.500  0.750  0.750

---

Below is a relaxed Re3Te7Br7 crystal, with properties calculated at the GGA-PBE level.

The value obtained for the density is 5.68 g cm⁻³. For the uncorrected formation energy, the calculation gives -26.63 kJ/mol of atoms. For the raw total energy, the calculation gives -151.48 eV per cell.

abc: 13.465 13.465 13.465
angles: 46.57 46.57 46.57
Fractional coordinates of all 34 atoms:
Re  0.872  0.162  0.060
Re  0.838  0.940  0.128
Re  0.128  0.838  0.940
Re  0.162  0.060  0.872
Re  0.940  0.128  0.838
Re  0.060  0.872  0.162
Te  0.349  0.768  0.974
Te  0.684  0.393  0.138
Te  0.232  0.026  0.651
Te  0.138  0.684  0.393
Te  0.974  0.349  0.768
Te  0.316  0.607  0.862
Te  0.862  0.316  0.607
Te  0.907  0.907  0.907
Te  0.607  0.862  0.316
Te  0.651  0.232  0.026
Te  0.393  0.138  0.684
Te  0.026  0.651  0.232
Te  0.093  0.093  0.093
Te  0.768  0.974  0.349
Br  0.629  0.296  0.707
Br  0.371  0.704  0.293
Br  0.545  0.970  0.840
Br  0.639  0.639  0.639
Br  0.840  0.545  0.970
Br  0.160  0.455  0.030
Br  0.361  0.361  0.361
Br  0.970  0.840  0.545
Br  0.030  0.160  0.455
Br  0.707  0.629  0.296
Br  0.293  0.371  0.704
Br  0.704  0.293  0.371
Br  0.296  0.707  0.629
Br  0.455  0.030  0.160

---

Below is a relaxed Re2TeBr crystal, with properties calculated at the GGA-PBE level.

For the energy relative to the lowest polymorph listed for this composition, the calculation gives 0.861 eV/atom. The value obtained for the density is 13.60 g cm⁻³. For the uncorrected formation energy, the calculation gives 110.77 kJ/mol of atoms. For the raw total energy, the calculation gives -25.12 eV per cell.

abc: 3.112 5.419 5.554
angles: 49.11 90.00 90.00
Fractional coordinates of all 4 atoms:
Re  0.000  0.000  0.000
Re  0.500  0.500  0.000
Te  0.500  0.500  0.500
Br  0.000  0.000  0.500

---

Below is a relaxed ReTeBr crystal, with properties calculated at the GGA-PBE level.

For the energy relative to the lowest polymorph listed for this composition, the calculation gives 0.166 eV/atom. The value obtained for the density is 9.08 g cm⁻³. For the uncorrected formation energy, the calculation gives 49.96 kJ/mol of atoms. For the raw total energy, the calculation gives -15.71 eV per cell.

abc: 7.309 7.309 7.309
angles: 154.55 154.55 36.30
Fractional coordinates of all 3 atoms:
Re  0.327  0.327  0.000
Te  0.715  0.715  0.000
Br  0.957  0.957  0.000

---

Below is a relaxed ReTeBr crystal, with properties calculated at the GGA-PBE level.

For the energy relative to the lowest polymorph listed for this composition, the calculation gives 0.367 eV/atom. The value obtained for the density is 9.03 g cm⁻³. For the uncorrected formation energy, the calculation gives 69.39 kJ/mol of atoms. For the raw total energy, the calculation gives -15.11 eV per cell.

abc: 8.517 8.193 3.242
angles: 84.50 73.24 22.27
Fractional coordinates of all 3 atoms:
Re  0.335  0.335  0.665
Te  0.701  0.701  0.299
Br  0.964  0.964  0.036

---

Below is a relaxed Re2TeBr crystal, with properties calculated at the GGA-PBE level.

For the energy relative to the lowest polymorph listed for this composition, the calculation gives 0.000 eV/atom. The value obtained for the density is 9.90 g cm⁻³. For the uncorrected formation energy, the calculation gives 27.73 kJ/mol of atoms. For the raw total energy, the calculation gives -28.56 eV per cell.

abc: 3.746 3.746 9.406
angles: 80.31 80.31 48.61
Fractional coordinates of all 4 atoms:
Re  0.051  0.051  0.795
Re  0.754  0.754  0.954
Te  0.448  0.448  0.576
Br  0.246  0.246  0.175

---

Question: What is the formula in the third record?
Answer: Re2TeBr

---

Question: density of number 8 (Re3Te7Br7)?
Answer: 5.68 g cm⁻³

---

Copy entry 12 word for word.
Below is a relaxed Re2TeBr crystal, with properties calculated at the GGA-PBE level.

For the energy relative to the lowest polymorph listed for this composition, the calculation gives 0.000 eV/atom. The value obtained for the density is 9.90 g cm⁻³. For the uncorrected formation energy, the calculation gives 27.73 kJ/mol of atoms. For the raw total energy, the calculation gives -28.56 eV per cell.

abc: 3.746 3.746 9.406
angles: 80.31 80.31 48.61
Fractional coordinates of all 4 atoms:
Re  0.051  0.051  0.795
Re  0.754  0.754  0.954
Te  0.448  0.448  0.576
Br  0.246  0.246  0.175

---

Please write out number 7 again, unchanged.
Below is a relaxed Re2TeBr crystal, with properties calculated at the GGA-PBE level.

For the energy relative to the lowest polymorph listed for this composition, the calculation gives 0.815 eV/atom. The value obtained for the density is 10.41 g cm⁻³. For the uncorrected formation energy, the calculation gives 106.41 kJ/mol of atoms. For the raw total energy, the calculation gives -25.30 eV per cell.

abc: 4.285 4.172 5.193
angles: 94.77 90.00 90.00
Fractional coordinates of all 4 atoms:
Re  0.000  0.061  0.898
Re  0.000  0.439  0.602
Te  0.500  0.250  0.250
Br  0.500  0.750  0.750